[1]
# LaTb4Er5 | Alexandria via LeMat-Bulk | PBE-GGA | optimized geometry
data_LaTb4Er5
_space_group_name_H-M_alt 'P 1'
_space_group_IT_number 1
_cell_length_a 6.257
_cell_length_b 7.879
_cell_length_c 7.879
_cell_angle_alpha 80.93
_cell_angle_beta 66.61
_cell_angle_gamma 66.61
loop_
_space_group_symop_operation_xyz
'x,y,z'
loop_
_atom_site_label
_atom_site_type_symbol
_atom_site_fract_x
_atom_site_fract_y
_atom_site_fract_z
La1 La 0.223 0.000 0.000
Tb1 Tb 0.403 0.403 0.700
Tb2 Tb 0.806 0.700 0.597
Tb3 Tb 0.103 0.300 0.403
Tb4 Tb 0.506 0.597 0.300
Er1 Er 0.801 0.380 0.912
Er2 Er 0.181 0.912 0.620
Er3 Er 0.713 0.088 0.380
Er4 Er 0.093 0.620 0.088
Er5 Er 0.682 0.000 0.000
# energy above the lowest structure with this stoichiometry = 236.7 meV per atom
# ΔH_f (0 K) = 0.303 eV/atom
# size of the total moment = 0.00 μB per atom



[2]
# La4Tb4Er3 | Alexandria via LeMat-Bulk | PBE-GGA | optimized geometry
data_La4Tb4Er3
_space_group_name_H-M_alt 'P 1'
_space_group_IT_number 1
_cell_length_a 3.538
_cell_length_b 5.733
_cell_length_c 18.277
_cell_angle_alpha 80.94
_cell_angle_beta 84.45
_cell_angle_gamma 90.00
loop_
_space_group_symop_operation_xyz
'x,y,z'
loop_
_atom_site_label
_atom_site_type_symbol
_atom_site_fract_x
_atom_site_fract_y
_atom_site_fract_z
La1 La 0.592 0.093 0.816
La2 La 0.270 0.270 0.460
La3 La 0.730 0.730 0.540
La4 La 0.408 0.907 0.184
Tb1 Tb 0.545 0.545 0.910
Tb2 Tb 0.455 0.455 0.090
Tb3 Tb 0.318 0.818 0.363
Tb4 Tb 0.682 0.182 0.637
Er1 Er 0.136 0.636 0.728
Er2 Er 0.864 0.364 0.272
Er3 Er 0.000 0.000 0.000
# energy above the lowest structure with this stoichiometry = 0.0 meV per atom
# ΔH_f (0 K) = 0.064 eV/atom
# size of the total moment = 0.00 μB per atom



[3]
# La7Tb12Er | Alexandria via LeMat-Bulk | PBE-GGA | optimized geometry
data_La7Tb12Er
_space_group_name_H-M_alt 'P 1'
_space_group_IT_number 1
_cell_length_a 8.869
_cell_length_b 8.869
_cell_length_c 8.869
_cell_angle_alpha 86.24
_cell_angle_beta 86.24
_cell_angle_gamma 86.24
loop_
_space_group_symop_operation_xyz
'x,y,z'
loop_
_atom_site_label
_atom_site_type_symbol
_atom_site_fract_x
_atom_site_fract_y
_atom_site_fract_z
La1 La 0.839 0.604 0.914
La2 La 0.396 0.086 0.161
La3 La 0.086 0.161 0.396
La4 La 0.500 0.500 0.500
La5 La 0.914 0.839 0.604
La6 La 0.604 0.914 0.839
La7 La 0.161 0.396 0.086
Tb1 Tb 0.857 0.250 0.728
Tb2 Tb 0.750 0.272 0.143
Tb3 Tb 0.617 0.135 0.498
Tb4 Tb 0.865 0.502 0.383
Tb5 Tb 0.272 0.143 0.750
Tb6 Tb 0.502 0.383 0.865
Tb7 Tb 0.498 0.617 0.135
Tb8 Tb 0.728 0.857 0.250
Tb9 Tb 0.135 0.498 0.617
Tb10 Tb 0.383 0.865 0.502
Tb11 Tb 0.250 0.728 0.857
Tb12 Tb 0.143 0.750 0.272
Er1 Er 0.000 0.000 0.000
# energy above the lowest structure with this stoichiometry = 0.0 meV per atom
# ΔH_f (0 K) = 0.218 eV/atom
# size of the total moment = 0.00 μB per atom



[4]
# LaTbEr5 | Alexandria via LeMat-Bulk | PBE-GGA | optimized geometry
data_LaTbEr5
_space_group_name_H-M_alt 'P 1'
_space_group_IT_number 1
_cell_length_a 7.075
_cell_length_b 8.829
_cell_length_c 8.829
_cell_angle_alpha 80.54
_cell_angle_beta 66.34
_cell_angle_gamma 66.34
loop_
_space_group_symop_operation_xyz
'x,y,z'
loop_
_atom_site_label
_atom_site_type_symbol
_atom_site_fract_x
_atom_site_fract_y
_atom_site_fract_z
La1 La 0.000 0.000 0.000
La2 La 0.500 0.000 0.000
Tb1 Tb 0.750 0.292 0.708
Tb2 Tb 0.250 0.708 0.292
Er1 Er 0.464 0.286 0.286
Er2 Er 0.750 0.500 0.000
Er3 Er 0.964 0.286 0.286
Er4 Er 0.750 0.709 0.291
Er5 Er 0.750 0.000 0.500
Er6 Er 0.250 0.000 0.500
Er7 Er 0.250 0.291 0.709
Er8 Er 0.036 0.714 0.714
Er9 Er 0.250 0.500 0.000
Er10 Er 0.536 0.714 0.714
# energy above the lowest structure with this stoichiometry = 0.0 meV per atom
# ΔH_f (0 K) = 0.174 eV/atom
# size of the total moment = 0.00 μB per atom



[5]
# LaTb4Er3 | Alexandria via LeMat-Bulk | PBE-GGA | optimized geometry
data_LaTb4Er3
_space_group_name_H-M_alt 'P 1'
_space_group_IT_number 1
_cell_length_a 6.289
_cell_length_b 7.290
_cell_length_c 11.347
_cell_angle_alpha 90.00
_cell_angle_beta 90.00
_cell_angle_gamma 90.00
loop_
_space_group_symop_operation_xyz
'x,y,z'
loop_
_atom_site_label
_atom_site_type_symbol
_atom_site_fract_x
_atom_site_fract_y
_atom_site_fract_z
La1 La 0.145 0.375 0.000
La2 La 0.645 0.625 0.500
Tb1 Tb 0.146 0.874 0.000
Tb2 Tb 0.649 0.124 0.000
Tb3 Tb 0.982 0.125 0.253
Tb4 Tb 0.482 0.875 0.247
Tb5 Tb 0.149 0.876 0.500
Tb6 Tb 0.646 0.126 0.500
Tb7 Tb 0.482 0.875 0.753
Tb8 Tb 0.982 0.125 0.747
Er1 Er 0.648 0.627 0.000
Er2 Er 0.981 0.625 0.251
Er3 Er 0.481 0.375 0.249
Er4 Er 0.148 0.373 0.500
Er5 Er 0.481 0.375 0.751
Er6 Er 0.981 0.625 0.749
# energy above the lowest structure with this stoichiometry = 0.0 meV per atom
# ΔH_f (0 K) = 0.017 eV/atom
# size of the total moment = 0.00 μB per atom



[6]
# La6Tb5Er2 | Alexandria via LeMat-Bulk | PBE-GGA | optimized geometry
data_La6Tb5Er2
_space_group_name_H-M_alt 'P 1'
_space_group_IT_number 1
_cell_length_a 3.645
_cell_length_b 11.769
_cell_length_c 20.985
_cell_angle_alpha 90.00
_cell_angle_beta 90.00
_cell_angle_gamma 90.00
loop_
_space_group_symop_operation_xyz
'x,y,z'
loop_
_atom_site_label
_atom_site_type_symbol
_atom_site_fract_x
_atom_site_fract_y
_atom_site_fract_z
La1 La 0.000 0.084 0.368
La2 La 0.000 0.916 0.632
La3 La 0.000 0.584 0.132
La4 La 0.000 0.416 0.868
La5 La 0.500 0.328 0.138
La6 La 0.500 0.672 0.862
La7 La 0.500 0.828 0.362
La8 La 0.500 0.172 0.638
La9 La 0.000 0.562 0.419
La10 La 0.000 0.438 0.581
La11 La 0.000 0.062 0.081
La12 La 0.000 0.938 0.919
Tb1 Tb 0.500 0.303 0.443
Tb2 Tb 0.500 0.697 0.557
Tb3 Tb 0.500 0.803 0.057
Tb4 Tb 0.500 0.197 0.943
Tb5 Tb 0.500 0.594 0.272
Tb6 Tb 0.500 0.406 0.728
Tb7 Tb 0.500 0.094 0.228
Tb8 Tb 0.500 0.906 0.772
Tb9 Tb 0.500 0.500 0.000
Tb10 Tb 0.500 0.000 0.500
Er1 Er 0.000 0.336 0.291
Er2 Er 0.000 0.664 0.709
Er3 Er 0.000 0.836 0.209
Er4 Er 0.000 0.164 0.791
# ΔH_f (0 K) = 0.109 eV/atom
# size of the total moment = 0.00 μB per atom